Arrangement a

First-principles (PBE) data for Cu2GeB after structural relaxation, as listed in the Alexandria database.

Volume = 51.2 Å³/f.u.

Lattice parameters (Å, degrees): 8.0382 8.0382 8.0382 153.61 153.61 37.67
With the nearest neighbours (Å) after each atom.
Element x y z (fractional)
Cu (0.0851, 0.6250, 0.9601)  2 B 2.25, 2 Ge 2.36, 2 Cu 2.40
Cu (0.3750, 0.3351, 0.4601)  2 B 2.25, 2 Ge 2.36, 2 Cu 2.40
Cu (0.6649, 0.1250, 0.0399)  2 B 2.25, 2 Ge 2.36, 2 Cu 2.40
Cu (0.8750, 0.9149, 0.5399)  2 B 2.25, 2 Ge 2.36, 2 Cu 2.40
Ge (0.2500, 0.7500, 0.5000)  4 Cu 2.36, 4 B 2.59
Ge (0.5000, 0.5000, 0.0000)  4 Cu 2.36, 4 B 2.59
B (0.0000, 0.0000, 0.0000)  4 Cu 2.25
B (0.7500, 0.2500, 0.5000)  4 Cu 2.25



Arrangement b

First-principles (PBE) data for Cu2GeB after structural relaxation, as listed in the Alexandria database.

Volume = 49.0 Å³/f.u.

Lattice parameters (Å, degrees): 4.1083 4.1083 4.1083 60.00 60.00 60.00
With the nearest neighbours (Å) after each atom.
Element x y z (fractional)
Cu (0.2500, 0.2500, 0.2500)  4 Ge 2.52, 4 B 2.52
Cu (0.7500, 0.7500, 0.7500)  4 Ge 2.52, 4 B 2.52
Ge (0.0000, 0.0000, 0.0000)  8 Cu 2.52
B (0.5000, 0.5000, 0.5000)  8 Cu 2.52



Verdict on stability: arrangement b comes out at the bottom.



Arrangement a

First-principles (PBE) data for Cu3GeB after structural relaxation, as listed in the Alexandria database.

Volume = 90.4 Å³/f.u.

Lattice parameters (Å, degrees): 4.4880 4.4880 4.4880 90.00 90.00 90.00
With the nearest neighbours (Å) after each atom.
Element x y z (fractional)
Cu (0.0000, 0.0000, 0.5000)  2 Ge 2.24
Cu (0.0000, 0.5000, 0.0000)  2 Ge 2.24
Cu (0.5000, 0.0000, 0.0000)  2 Ge 2.24
Ge (0.0000, 0.0000, 0.0000)  6 Cu 2.24
B (0.5000, 0.5000, 0.5000)  12 Cu 3.17



Arrangement b

First-principles (PBE) data for Cu3GeB after structural relaxation, as listed in the Alexandria database.

Volume = 65.3 Å³/f.u.

Lattice parameters (Å, degrees): 4.0270 4.0270 4.0270 90.00 90.00 90.00
With the nearest neighbours (Å) after each atom.
Element x y z (fractional)
Cu (0.0000, 0.0000, 0.5000)  2 B 2.01
Cu (0.0000, 0.5000, 0.0000)  2 B 2.01
Cu (0.5000, 0.0000, 0.0000)  2 B 2.01
Ge (0.5000, 0.5000, 0.5000)  12 Cu 2.85
B (0.0000, 0.0000, 0.0000)  6 Cu 2.01



Verdict on stability: arrangement a comes out at the bottom.



Arrangement a

First-principles (PBE) data for CuGeB2H after structural relaxation, as listed in the Alexandria database.

Volume = 52.8 Å³/f.u.

Lattice parameters (Å, degrees): 4.0028 4.0028 3.2933 90.00 90.00 90.00
With the nearest neighbours (Å) after each atom.
Element x y z (fractional)
Cu (0.0000, 0.0000, 0.0000)  2 H 1.65
Ge (0.5000, 0.5000, 0.5000)  8 B 2.59, 4 H 2.83
B (0.0000, 0.5000, 0.0000)  2 Cu 2.00
B (0.5000, 0.0000, 0.0000)  2 Cu 2.00
H (0.0000, 0.0000, 0.5000)  2 Cu 1.65



Arrangement b

First-principles (PBE) data for CuGeB2H after structural relaxation, as listed in the Alexandria database.

Volume = 77.6 Å³/f.u.

Lattice parameters (Å, degrees): 4.0586 4.0586 4.7126 90.00 90.00 90.00
With the nearest neighbours (Å) after each atom.
Element x y z (fractional)
Cu (0.0000, 0.0000, 0.0000)  2 Ge 2.36
Ge (0.0000, 0.0000, 0.5000)  4 B 2.03
B (0.0000, 0.5000, 0.5000)  2 Ge 2.03
B (0.5000, 0.0000, 0.5000)  2 Ge 2.03
H (0.5000, 0.5000, 0.0000)  4 Cu 2.87, 8 B 3.11



Verdict on stability: arrangement b comes out at the bottom.



Arrangement a

First-principles (PBE) data for CuB2H6 after structural relaxation, as listed in the Alexandria database.

Volume = 88.4 Å³/f.u.

Lattice parameters (Å, degrees): 3.8079 4.6398 5.8882 97.26 107.01 112.62
With the nearest neighbours (Å) after each atom.
Element x y z (fractional)
Cu (0.0000, 0.0000, 0.0000)  2 H 1.67
B (0.4456, 0.0072, 0.8395)  3 H 1.21-1.30
B (0.5544, 0.9928, 0.1605)  3 H 1.21-1.30
H (0.1130, 0.8403, 0.6716)  1 B 1.22
H (0.3939, 0.7289, 0.1947)  1 B 1.21
H (0.4466, 0.2067, 0.2397)  1 B 1.30
H (0.5534, 0.7933, 0.7603)  1 B 1.30
H (0.6061, 0.2711, 0.8053)  1 B 1.21
H (0.8870, 0.1597, 0.3284)  1 B 1.22



Arrangement b

First-principles (PBE) data for CuB2H6 after structural relaxation, as listed in the Alexandria database.

Volume = 48.8 Å³/f.u.

Lattice parameters (Å, degrees): 4.1019 4.1019 4.1019 60.00 60.00 60.00
With the nearest neighbours (Å) after each atom.
Element x y z (fractional)
Cu (0.0000, 0.0000, 0.0000)  6 H 1.71
B (0.2500, 0.2500, 0.2500)  12 H 2.07
B (0.7500, 0.7500, 0.7500)  12 H 2.07
H (0.2941, 0.2941, 0.7059)  4 H 1.69, 1 Cu 1.71
H (0.2941, 0.7059, 0.2941)  4 H 1.69, 1 Cu 1.71
H (0.2941, 0.7059, 0.7059)  4 H 1.69, 1 Cu 1.71
H (0.7059, 0.2941, 0.2941)  4 H 1.69, 1 Cu 1.71
H (0.7059, 0.2941, 0.7059)  4 H 1.69, 1 Cu 1.71
H (0.7059, 0.7059, 0.2941)  4 H 1.69, 1 Cu 1.71



Verdict on stability: arrangement b comes out at the bottom.



Arrangement a

First-principles (PBE) data for Cu2BH after structural relaxation, as listed in the Alexandria database.

Volume = 33.8 Å³/f.u.

Lattice parameters (Å, degrees): 3.6275 3.6275 3.6275 60.00 60.00 60.00
With the nearest neighbours (Å) after each atom.
Element x y z (fractional)
Cu (0.2500, 0.2500, 0.2500)  4 H 2.22, 4 B 2.22
Cu (0.7500, 0.7500, 0.7500)  4 H 2.22, 4 B 2.22
B (0.0000, 0.0000, 0.0000)  8 Cu 2.22
H (0.5000, 0.5000, 0.5000)  8 Cu 2.22



Arrangement b

First-principles (PBE) data for Cu2BH after structural relaxation, as listed in the Alexandria database.

Volume = 37.9 Å³/f.u.

Lattice parameters (Å, degrees): 4.7143 4.7143 4.7143 118.30 118.30 92.97
With the nearest neighbours (Å) after each atom.
Element x y z (fractional)
Cu (0.0800, 0.1250, 0.4550)  2 H 1.76
Cu (0.3750, 0.9200, 0.0450)  2 H 1.76
Cu (0.6700, 0.6250, 0.5450)  2 H 1.76
Cu (0.8750, 0.3300, 0.9550)  2 H 1.76
B (0.2500, 0.7500, 0.5000)  4 Cu 2.04
B (0.5000, 0.5000, 0.0000)  4 Cu 2.04
H (0.0000, 0.0000, 0.0000)  4 Cu 1.76
H (0.7500, 0.2500, 0.5000)  4 Cu 1.76



Verdict on stability: arrangement a comes out at the bottom.



Arrangement a

First-principles (PBE) data for HfCuB2 after structural relaxation, as listed in the Alexandria database.

Volume = 44.9 Å³/f.u.

Lattice parameters (Å, degrees): 3.9895 3.9895 3.9895 60.00 60.00 60.00
With the nearest neighbours (Å) after each atom.
Element x y z (fractional)
Hf (0.0000, 0.0000, 0.0000)  8 B 2.44
Cu (0.5000, 0.5000, 0.5000)  8 B 2.44
B (0.2500, 0.2500, 0.2500)  4 Cu 2.44, 4 Hf 2.44
B (0.7500, 0.7500, 0.7500)  4 Cu 2.44, 4 Hf 2.44



Arrangement b

First-principles (PBE) data for HfCuB2 after structural relaxation, as listed in the Alexandria database.

Volume = 48.5 Å³/f.u.

Lattice parameters (Å, degrees): 7.2765 7.2765 7.2765 149.86 149.86 43.15
With the nearest neighbours (Å) after each atom.
Element x y z (fractional)
Hf (0.3750, 0.6250, 0.7500)  4 Cu 2.68, 8 B 2.71
Hf (0.6250, 0.3750, 0.2500)  4 Cu 2.68, 8 B 2.71
Cu (0.1250, 0.8750, 0.2500)  4 B 1.94
Cu (0.8750, 0.1250, 0.7500)  4 B 1.94
B (0.0000, 0.0000, 0.0000)  2 B 1.89, 2 Cu 1.94
B (0.0000, 0.0000, 0.5000)  2 B 1.89, 2 Cu 1.94
B (0.0000, 0.5000, 0.0000)  2 B 1.89, 2 Cu 1.94
B (0.5000, 0.0000, 0.5000)  2 B 1.89, 2 Cu 1.94



Verdict on stability: arrangement a comes out at the bottom.



Arrangement a

First-principles (PBE) data for CuHgB3 after structural relaxation, as listed in the Alexandria database.

Volume = 83.0 Å³/f.u.

Lattice parameters (Å, degrees): 4.3629 4.3629 4.3629 90.00 90.00 90.00
With the nearest neighbours (Å) after each atom.
Element x y z (fractional)
Cu (0.0000, 0.0000, 0.0000)  12 B 3.09
Hg (0.5000, 0.5000, 0.5000)  6 B 2.18
B (0.0000, 0.5000, 0.5000)  2 Hg 2.18
B (0.5000, 0.0000, 0.5000)  2 Hg 2.18
B (0.5000, 0.5000, 0.0000)  2 Hg 2.18



Arrangement b

First-principles (PBE) data for CuHgB3 after structural relaxation, as listed in the Alexandria database.

Volume = 65.9 Å³/f.u.

Lattice parameters (Å, degrees): 4.0396 4.0396 4.0396 90.00 90.00 90.00
With the nearest neighbours (Å) after each atom.
Element x y z (fractional)
Cu (0.0000, 0.0000, 0.0000)  6 B 2.02
Hg (0.5000, 0.5000, 0.5000)  12 B 2.86
B (0.0000, 0.0000, 0.5000)  2 Cu 2.02
B (0.0000, 0.5000, 0.0000)  2 Cu 2.02
B (0.5000, 0.0000, 0.0000)  2 Cu 2.02



Verdict on stability: arrangement a comes out at the bottom.



Arrangement a

First-principles (PBE) data for Cu2HgB after structural relaxation, as listed in the Alexandria database.

Volume = 54.1 Å³/f.u.

Lattice parameters (Å, degrees): 4.2446 4.2446 4.2446 60.00 60.00 60.00
With the nearest neighbours (Å) after each atom.
Element x y z (fractional)
Cu (0.2500, 0.2500, 0.2500)  4 Hg 2.60, 4 B 2.60
Cu (0.7500, 0.7500, 0.7500)  4 Hg 2.60, 4 B 2.60
Hg (0.0000, 0.0000, 0.0000)  8 Cu 2.60
B (0.5000, 0.5000, 0.5000)  8 Cu 2.60



Arrangement b

First-principles (PBE) data for Cu2HgB after structural relaxation, as listed in the Alexandria database.

Volume = 57.6 Å³/f.u.

Lattice parameters (Å, degrees): 5.3743 5.3743 5.3743 103.61 103.61 121.97
With the nearest neighbours (Å) after each atom.
Element x y z (fractional)
Cu (0.0238, 0.6250, 0.8988)  2 B 2.04
Cu (0.3750, 0.2738, 0.3988)  2 B 2.04
Cu (0.7262, 0.1250, 0.1012)  2 B 2.04
Cu (0.8750, 0.9762, 0.6012)  2 B 2.04
Hg (0.2500, 0.7500, 0.5000)  2 B 2.61, 4 Cu 2.75
Hg (0.5000, 0.5000, 0.0000)  2 B 2.61, 4 Cu 2.75
B (0.0000, 0.0000, 0.0000)  4 Cu 2.04
B (0.7500, 0.2500, 0.5000)  4 Cu 2.04



Verdict on stability: arrangement a comes out at the bottom.